No. 1
Computed, not measured: Mg2CuSbN after structural relaxation at the GGA-PBE level of DFT.

POSCAR file:
```
Mg2CuSbN
1.0
-1.072 -1.515 3.794
-1.328 -3.580 -1.805
4.043 -1.728 0.452
Sb Mg N Cu
1 2 1 1
direct
0.500 0.500 0.500
0.000 0.500 0.000
0.500 0.000 0.000
0.000 0.000 0.000
0.000 0.000 0.500
```

Computed properties:
Symmetry: No. 123
D(E_F) (states/eV/cell): 1.43



No. 2
Computed, not measured: MgSc2CuN after structural relaxation at the GGA-PBE level of DFT.

POSCAR file:
```
MgSc2CuN
1.0
-3.755 2.141 0.573
-1.465 -3.243 2.520
1.631 1.938 3.443
Sc Mg Cu N
2 1 1 1
direct
0.500 0.000 0.000
0.000 0.500 0.000
0.000 0.000 0.500
0.500 0.500 0.500
0.000 0.000 0.000
```

Computed properties:
Symmetry: No. 123
D(E_F) (states/eV/cell): 5.16



No. 3
Computed, not measured: MgCuSe2N after structural relaxation at the GGA-PBE level of DFT.

POSCAR file:
```
MgCuSe2N
1.0
5.127 0.000 0.000
0.000 5.127 0.000
0.000 0.000 3.926
Mg Cu Se N
1 1 2 1
direct
0.000 0.000 0.000
0.500 0.500 0.500
0.000 0.500 0.000
0.500 0.000 0.000
0.000 0.000 0.500
```

Computed properties:
Symmetry: No. 123
D(E_F) (states/eV/cell): 5.33
Energy relative to the lowest polymorph listed for this composition (kJ/mol of atoms): 43.8



For each record above, in turn, the calculated energy values are -20.89; -30.00; -16.57 eV for the cell shown.